Run i
## GaSn2Ge (meta-GGA SCAN)

Data for GaSn2Ge at its PBEsol-relaxed geometry.

Results
For the magnetization, the calculation gives 0.00 μB/cell. As for the crystal system: tetragonal. For the theoretical density, the calculation gives 5.517 g cm⁻³.

Cell lengths 6.1679, 6.1679, 7.4252 Å; angles 114.54, 114.54, 90.00 degrees
Positions (direct):
Ge: 0.2500 0.7500 0.5000
Ge: 0.0000 0.0000 0.0000
Sn: 0.3752 0.8750 0.2500
Sn: 0.8748 0.3750 0.2500
Sn: 0.1250 0.1252 0.7500
Sn: 0.6250 0.6248 0.7500
Ga: 0.7500 0.2500 0.5000
Ga: 0.5000 0.5000 0.0000


Run ii
## GaSn2Ge (meta-GGA SCAN)

Data for GaSn2Ge at its PBEsol-relaxed geometry.

Results
For the magnetization, the calculation gives 0.00 μB/cell. As for the crystal system: cubic. For the theoretical density, the calculation gives 7.134 g cm⁻³.

Cell lengths 5.0002, 5.0002, 5.0002 Å; angles 60.00, 60.00, 60.00 degrees
Positions (direct):
Ge: 0.5000 0.5000 0.5000
Sn: 0.2500 0.2500 0.2500
Sn: 0.7500 0.7500 0.7500
Ga: 0.0000 0.0000 0.0000


Most stable: run i. Least stable: run ii.


Run i
## MnGaH3 (meta-GGA SCAN)

Data for MnGaH3 at its PBEsol-relaxed geometry.

Results
For the magnetization, the calculation gives 0.92 μB/cell. As for the crystal system: cubic. For the theoretical density, the calculation gives 6.074 g cm⁻³.

Cell lengths 3.2682, 3.2682, 3.2682 Å; angles 90.00, 90.00, 90.00 degrees
Positions (direct):
H: 0.0000 0.5000 0.0000
H: 0.0000 0.0000 0.5000
H: 0.5000 0.0000 0.0000
Mn: 0.0000 0.0000 0.0000
Ga: 0.5000 0.5000 0.5000


Run ii
## MnGaH3 (meta-GGA SCAN)

Data for MnGaH3 at its PBEsol-relaxed geometry.

Results
For the magnetization, the calculation gives 4.86 μB/cell. As for the crystal system: cubic. For the theoretical density, the calculation gives 4.602 g cm⁻³.

Cell lengths 3.5848, 3.5848, 3.5848 Å; angles 90.00, 90.00, 90.00 degrees
Positions (direct):
H: 0.0000 0.5000 0.0000
H: 0.0000 0.0000 0.5000
H: 0.5000 0.0000 0.0000
Mn: 0.5000 0.5000 0.5000
Ga: 0.0000 0.0000 0.0000


Most stable: run i. Least stable: run ii.


Run i
## GaTeH3 (meta-GGA SCAN)

Data for GaTeH3 at its PBEsol-relaxed geometry.

Results
For the magnetization, the calculation gives 0.00 μB/cell. As for the crystal system: cubic. For the theoretical density, the calculation gives 5.035 g cm⁻³.

Cell lengths 4.0426, 4.0426, 4.0426 Å; angles 90.00, 90.00, 90.00 degrees
Positions (direct):
H: 0.0000 0.5000 0.0000
H: 0.0000 0.0000 0.5000
H: 0.5000 0.0000 0.0000
Te: 0.0000 0.0000 0.0000
Ga: 0.5000 0.5000 0.5000


Run ii
## GaTeH3 (meta-GGA SCAN)

Data for GaTeH3 at its PBEsol-relaxed geometry.

Results
For the magnetization, the calculation gives 0.00 μB/cell. As for the crystal system: cubic. For the theoretical density, the calculation gives 6.077 g cm⁻³.

Cell lengths 3.7971, 3.7971, 3.7971 Å; angles 90.00, 90.00, 90.00 degrees
Positions (direct):
H: 0.0000 0.5000 0.0000
H: 0.0000 0.0000 0.5000
H: 0.5000 0.0000 0.0000
Te: 0.5000 0.5000 0.5000
Ga: 0.0000 0.0000 0.0000


Most stable: run i. Least stable: run ii.


Run i
## Hf2GaPd2 (meta-GGA SCAN)

Data for Hf2GaPd2 at its PBEsol-relaxed geometry.

Results
For the magnetization, the calculation gives 0.00 μB/cell. As for the crystal system: tetragonal. For the theoretical density, the calculation gives 12.062 g cm⁻³.

Cell lengths 3.3378, 7.2631, 7.2631 Å; angles 90.00, 90.00, 90.00 degrees
Positions (direct):
Hf: 0.5000 0.1709 0.6709
Hf: 0.5000 0.6709 0.8291
Hf: 0.5000 0.8291 0.3291
Hf: 0.5000 0.3291 0.1709
Ga: 0.0000 0.0000 0.0000
Ga: 0.0000 0.5000 0.5000
Pd: 0.0000 0.3698 0.8698
Pd: 0.0000 0.8698 0.6302
Pd: 0.0000 0.6302 0.1302
Pd: 0.0000 0.1302 0.3698


Run ii
## Hf2GaPd2 (meta-GGA SCAN)

Data for Hf2GaPd2 at its PBEsol-relaxed geometry.

Results
For the magnetization, the calculation gives 0.00 μB/cell. As for the crystal system: tetragonal. For the theoretical density, the calculation gives 10.368 g cm⁻³.

Cell lengths 4.4965, 4.4965, 5.9813 Å; angles 112.08, 112.08, 90.00 degrees
Positions (direct):
Hf: 0.2500 0.7500 0.5000
Hf: 0.7500 0.2500 0.5000
Ga: 0.0000 0.0000 0.0000
Pd: 0.3794 0.3794 0.7587
Pd: 0.6206 0.6206 0.2413


Most stable: run i. Least stable: run ii.